#A
# ScAs2RuBr | Alexandria | GGA-PBE | optimized geometry
data_ScAs2RuBr
_cell_length_a 4.739
_cell_length_b 4.739
_cell_length_c 5.182
_cell_angle_alpha 90.00
_cell_angle_beta 90.00
_cell_angle_gamma 90.00
_space_group_name_H-M_alt 'P 4/m m m'
_space_group_IT_number 123
_space_group_name_Hall '-P 4 2'
loop_
_atom_site_label
_atom_site_type_symbol
_atom_site_fract_x
_atom_site_fract_y
_atom_site_fract_z
_atom_site_occupancy
Sc1 Sc 0.000 0.000 0.000 1
As1 As 0.000 0.500 0.500 1
Ru1 Ru 0.500 0.500 0.500 1
Br1 Br 0.500 0.500 0.000 1
# * DOS at the Fermi energy: 0.99 states/eV per atom
# * calculated density: 5.36 g/cm³


#B
# ScAs2RuBr | Alexandria | GGA-PBE | optimized geometry
data_ScAs2RuBr
_cell_length_a 5.137
_cell_length_b 5.137
_cell_length_c 5.079
_cell_angle_alpha 90.00
_cell_angle_beta 90.00
_cell_angle_gamma 90.00
_space_group_name_H-M_alt 'P 4/m m m'
_space_group_IT_number 123
_space_group_name_Hall '-P 4 2'
loop_
_atom_site_label
_atom_site_type_symbol
_atom_site_fract_x
_atom_site_fract_y
_atom_site_fract_z
_atom_site_occupancy
Sc1 Sc 0.000 0.000 0.000 1
As1 As 0.000 0.500 0.000 1
Ru1 Ru 0.500 0.500 0.500 1
Br1 Br 0.000 0.000 0.500 1
# * DOS at the Fermi energy: 1.08 states/eV per atom
# * calculated density: 4.66 g/cm³


Quick one: least stable of them? #B


#A
# SrAs2RuBr | Alexandria | GGA-PBE | optimized geometry
data_SrAs2RuBr
_cell_length_a 4.762
_cell_length_b 4.762
_cell_length_c 5.631
_cell_angle_alpha 90.00
_cell_angle_beta 90.00
_cell_angle_gamma 90.00
_space_group_name_H-M_alt 'P 4/m m m'
_space_group_IT_number 123
_space_group_name_Hall '-P 4 2'
loop_
_atom_site_label
_atom_site_type_symbol
_atom_site_fract_x
_atom_site_fract_y
_atom_site_fract_z
_atom_site_occupancy
Sr1 Sr 0.000 0.000 0.000 1
As1 As 0.000 0.500 0.500 1
Ru1 Ru 0.500 0.500 0.500 1
Br1 Br 0.500 0.500 0.000 1
# * DOS at the Fermi energy: 0.62 states/eV per atom
# * calculated density: 5.44 g/cm³


#B
# SrAs2RuBr | Alexandria | GGA-PBE | optimized geometry
data_SrAs2RuBr
_cell_length_a 5.733
_cell_length_b 5.733
_cell_length_c 5.597
_cell_angle_alpha 90.00
_cell_angle_beta 90.00
_cell_angle_gamma 90.00
_space_group_name_H-M_alt 'P 4/m m m'
_space_group_IT_number 123
_space_group_name_Hall '-P 4 2'
loop_
_atom_site_label
_atom_site_type_symbol
_atom_site_fract_x
_atom_site_fract_y
_atom_site_fract_z
_atom_site_occupancy
Sr1 Sr 0.000 0.000 0.000 1
As1 As 0.000 0.500 0.000 1
Ru1 Ru 0.500 0.500 0.500 1
Br1 Br 0.000 0.000 0.500 1
# * DOS at the Fermi energy: 1.70 states/eV per atom
# * calculated density: 3.78 g/cm³


Quick one: least stable of them? #B


#A
# SrAsRuBr2 | Alexandria | GGA-PBE | optimized geometry
data_SrAsRuBr2
_cell_length_a 5.328
_cell_length_b 5.328
_cell_length_c 4.692
_cell_angle_alpha 90.00
_cell_angle_beta 90.00
_cell_angle_gamma 90.00
_space_group_name_H-M_alt 'P 4/m m m'
_space_group_IT_number 123
_space_group_name_Hall '-P 4 2'
loop_
_atom_site_label
_atom_site_type_symbol
_atom_site_fract_x
_atom_site_fract_y
_atom_site_fract_z
_atom_site_occupancy
Sr1 Sr 0.000 0.000 0.000 1
As1 As 0.500 0.500 0.000 1
Ru1 Ru 0.500 0.500 0.500 1
Br1 Br 0.000 0.500 0.500 1
# * DOS at the Fermi energy: 0.54 states/eV per atom
# * calculated density: 5.28 g/cm³


#B
# SrAsRuBr2 | Alexandria | GGA-PBE | optimized geometry
data_SrAsRuBr2
_cell_length_a 5.655
_cell_length_b 5.655
_cell_length_c 6.231
_cell_angle_alpha 90.00
_cell_angle_beta 90.00
_cell_angle_gamma 90.00
_space_group_name_H-M_alt 'P 4/m m m'
_space_group_IT_number 123
_space_group_name_Hall '-P 4 2'
loop_
_atom_site_label
_atom_site_type_symbol
_atom_site_fract_x
_atom_site_fract_y
_atom_site_fract_z
_atom_site_occupancy
Sr1 Sr 0.000 0.000 0.000 1
As1 As 0.000 0.000 0.500 1
Ru1 Ru 0.500 0.500 0.500 1
Br1 Br 0.000 0.500 0.000 1
# * DOS at the Fermi energy: 2.28 states/eV per atom
# * calculated density: 3.53 g/cm³


Quick one: least stable of them? #B


#A
# TaAsRuBr2 | Alexandria | GGA-PBE | optimized geometry
data_TaAsRuBr2
_cell_length_a 5.075
_cell_length_b 5.075
_cell_length_c 5.113
_cell_angle_alpha 90.00
_cell_angle_beta 90.00
_cell_angle_gamma 90.00
_space_group_name_H-M_alt 'P 4/m m m'
_space_group_IT_number 123
_space_group_name_Hall '-P 4 2'
loop_
_atom_site_label
_atom_site_type_symbol
_atom_site_fract_x
_atom_site_fract_y
_atom_site_fract_z
_atom_site_occupancy
Ta1 Ta 0.000 0.000 0.000 1
As1 As 0.000 0.000 0.500 1
Ru1 Ru 0.500 0.500 0.500 1
Br1 Br 0.000 0.500 0.000 1
# * DOS at the Fermi energy: 0.59 states/eV per atom
# * calculated density: 6.52 g/cm³


#B
# TaAsRuBr2 | Alexandria | GGA-PBE | optimized geometry
data_TaAsRuBr2
_cell_length_a 4.933
_cell_length_b 4.933
_cell_length_c 4.772
_cell_angle_alpha 90.00
_cell_angle_beta 90.00
_cell_angle_gamma 90.00
_space_group_name_H-M_alt 'P 4/m m m'
_space_group_IT_number 123
_space_group_name_Hall '-P 4 2'
loop_
_atom_site_label
_atom_site_type_symbol
_atom_site_fract_x
_atom_site_fract_y
_atom_site_fract_z
_atom_site_occupancy
Ta1 Ta 0.000 0.000 0.000 1
As1 As 0.500 0.500 0.000 1
Ru1 Ru 0.500 0.500 0.500 1
Br1 Br 0.000 0.500 0.500 1
# * DOS at the Fermi energy: 1.35 states/eV per atom
# * calculated density: 7.39 g/cm³


Quick one: least stable of them? #B


#A
# TiAsRuBr2 | Alexandria | GGA-PBE | optimized geometry
data_TiAsRuBr2
_cell_length_a 4.953
_cell_length_b 4.953
_cell_length_c 5.126
_cell_angle_alpha 90.00
_cell_angle_beta 90.00
_cell_angle_gamma 90.00
_space_group_name_H-M_alt 'P 4/m m m'
_space_group_IT_number 123
_space_group_name_Hall '-P 4 2'
loop_
_atom_site_label
_atom_site_type_symbol
_atom_site_fract_x
_atom_site_fract_y
_atom_site_fract_z
_atom_site_occupancy
Ti1 Ti 0.000 0.000 0.000 1
As1 As 0.000 0.000 0.500 1
Ru1 Ru 0.500 0.500 0.500 1
Br1 Br 0.000 0.500 0.000 1
# * DOS at the Fermi energy: 0.75 states/eV per atom
# * calculated density: 5.07 g/cm³


#B
# TiAsRuBr2 | Alexandria | GGA-PBE | optimized geometry
data_TiAsRuBr2
_cell_length_a 5.138
_cell_length_b 5.138
_cell_length_c 4.673
_cell_angle_alpha 90.00
_cell_angle_beta 90.00
_cell_angle_gamma 90.00
_space_group_name_H-M_alt 'P 4/m m m'
_space_group_IT_number 123
_space_group_name_Hall '-P 4 2'
loop_
_atom_site_label
_atom_site_type_symbol
_atom_site_fract_x
_atom_site_fract_y
_atom_site_fract_z
_atom_site_occupancy
Ti1 Ti 0.000 0.000 0.000 1
As1 As 0.500 0.500 0.000 1
Ru1 Ru 0.500 0.500 0.500 1
Br1 Br 0.000 0.500 0.500 1
# * DOS at the Fermi energy: 1.10 states/eV per atom
# * calculated density: 5.16 g/cm³


Quick one: least stable of them? #B


#A
# VAs2RuBr | Alexandria | GGA-PBE | optimized geometry
data_VAs2RuBr
_cell_length_a 4.685
_cell_length_b 4.685
_cell_length_c 5.371
_cell_angle_alpha 90.00
_cell_angle_beta 90.00
_cell_angle_gamma 90.00
_space_group_name_H-M_alt 'P 4/m m m'
_space_group_IT_number 123
_space_group_name_Hall '-P 4 2'
loop_
_atom_site_label
_atom_site_type_symbol
_atom_site_fract_x
_atom_site_fract_y
_atom_site_fract_z
_atom_site_occupancy
V1 V 0.000 0.000 0.000 1
As1 As 0.000 0.500 0.500 1
Ru1 Ru 0.500 0.500 0.500 1
Br1 Br 0.500 0.500 0.000 1
# * DOS at the Fermi energy: 1.15 states/eV per atom
# * calculated density: 5.38 g/cm³


#B
# VAs2RuBr | Alexandria | GGA-PBE | optimized geometry
data_VAs2RuBr
_cell_length_a 4.695
_cell_length_b 4.695
_cell_length_c 5.091
_cell_angle_alpha 90.00
_cell_angle_beta 90.00
_cell_angle_gamma 90.00
_space_group_name_H-M_alt 'P 4/m m m'
_space_group_IT_number 123
_space_group_name_Hall '-P 4 2'
loop_
_atom_site_label
_atom_site_type_symbol
_atom_site_fract_x
_atom_site_fract_y
_atom_site_fract_z
_atom_site_occupancy
V1 V 0.000 0.000 0.000 1
As1 As 0.000 0.500 0.000 1
Ru1 Ru 0.500 0.500 0.500 1
Br1 Br 0.000 0.000 0.500 1
# * DOS at the Fermi energy: 0.90 states/eV per atom
# * calculated density: 5.65 g/cm³


Quick one: least stable of them? #B